A plane-wave DFT calculation with PBE-GGA was carried out for a geometry-optimized AlAgRh2 structure.

Geometry as POSCAR:
```
AlAgRh2
1.0
-1.4749 2.2429 4.5209
1.4749 -2.2429 4.5209
1.4749 2.2429 -4.5209
Al Ag Rh
1 1 2
Cartesian
0.0000 0.0000 0.0000 Al
0.0000 2.2429 2.3079 Ag
1.4749 0.0000 2.0146 Rh
0.0000 0.0000 4.3527 Rh
```

Output
DFT total energy ... -22.2 eV/cell
Energy of formation ... -0.22 eV/atom
Spin magnetization ... 0.0 μB/f.u.

=====

A plane-wave DFT calculation with PBE-GGA was carried out for a geometry-optimized AlAgRh2 structure.

Geometry as POSCAR:
```
AlAgRh2
1.0
2.8897 0.0000 0.0000
0.0000 2.8897 0.0000
0.0000 0.0000 7.1926
Al Ag Rh
1 1 2
Cartesian
0.0000 0.0000 0.0000 Al
1.4448 1.4448 5.3027 Ag
0.0000 0.0000 3.3216 Rh
1.4448 1.4448 1.4657 Rh
```

Output
DFT total energy ... -22.1 eV/cell
Energy of formation ... -0.20 eV/atom
Spin magnetization ... 0.7 μB/f.u.

=====

A plane-wave DFT calculation with PBE-GGA was carried out for a geometry-optimized AlAgRh2 structure.

Geometry as POSCAR:
```
AlAgRh2
1.0
2.8071 0.0000 0.0000
0.0000 3.7617 0.0000
-0.0428 0.0000 5.7154
Al Ag Rh
1 1 2
Cartesian
0.0000 0.0000 0.0000 Al
1.3773 1.8809 1.6037 Ag
1.3740 1.8809 4.5348 Rh
2.7760 0.0000 3.1184 Rh
```

Output
DFT total energy ... -22.1 eV/cell
Energy of formation ... -0.20 eV/atom
Spin magnetization ... 0.0 μB/f.u.

=====

A plane-wave DFT calculation with PBE-GGA was carried out for a geometry-optimized AlAgRh4 structure.

Geometry as POSCAR:
```
AlAgRh4
1.0
0.0000 3.6245 3.6245
3.6245 0.0000 3.6245
3.6245 3.6245 0.0000
Al Ag Rh
1 1 4
Cartesian
0.0000 0.0000 0.0000 Al
5.4367 5.4367 5.4367 Ag
2.7175 2.7175 2.7175 Rh
4.5315 4.5315 2.7175 Rh
4.5315 2.7175 4.5315 Rh
2.7175 4.5315 4.5315 Rh
```

Output
DFT total energy ... -35.3 eV/cell
Energy of formation ... 0.12 eV/atom
Spin magnetization ... 0.1 μB/f.u.

=====

A plane-wave DFT calculation with PBE-GGA was carried out for a geometry-optimized AlAgRh2 structure.

Geometry as POSCAR:
```
AlAgRh2
1.0
-1.9082 1.9082 9.1060
1.9082 -1.9082 9.1060
1.9082 1.9082 -9.1060
Al Ag Rh
2 2 4
Cartesian
0.0000 0.0000 0.0000 Al
0.0000 1.9082 4.5530 Al
1.9082 0.0000 4.5530 Ag
0.0000 0.0000 9.1060 Ag
2.8622 0.8576 -2.2765 Rh
0.8576 0.9541 2.2765 Rh
-0.9541 1.0506 6.8295 Rh
1.0506 0.9541 11.3825 Rh
```

Output
DFT total energy ... -41.1 eV/cell
Energy of formation ... 0.19 eV/atom
Spin magnetization ... 0.0 μB/f.u.

=====

A plane-wave DFT calculation with PBE-GGA was carried out for a geometry-optimized Al4AgRh5 structure.

Geometry as POSCAR:
```
Al4AgRh5
1.0
2.9965 0.0000 0.0000
0.0000 2.9965 0.0000
0.0000 0.0000 15.6650
Al Ag Rh
4 1 5
Cartesian
0.0000 0.0000 1.5215 Al
0.0000 0.0000 4.5798 Al
0.0000 0.0000 11.0853 Al
0.0000 0.0000 14.1435 Al
0.0000 0.0000 7.8325 Ag
1.4983 1.4983 0.0000 Rh
1.4983 1.4983 2.9768 Rh
1.4983 1.4983 5.9238 Rh
1.4983 1.4983 9.7412 Rh
1.4983 1.4983 12.6882 Rh
```

Output
DFT total energy ... -63.1 eV/cell
Energy of formation ... -0.85 eV/atom
Spin magnetization ... 0.0 μB/f.u.